Entry 1:
This record from Alexandria describes an optimized crystal structure of DyErPaSn. The functional is GGA-PBE.

Unit cell a=5.3176 b=5.3176 c=5.3176 alpha=60.00 beta=60.00 gamma=60.00
Site moments in Bohr magnetons follow the coordinates.
Fractional coordinates of all 4 atoms:
Pa 0.0000 0.0000 0.0000  0.77
Dy 0.2500 0.2500 0.2500  0.21
Sn 0.5000 0.5000 0.5000  -0.03
Er 0.7500 0.7500 0.7500  0.26

Calculated values
The space group is F-43m (216).

***

Entry 2:
This record from Alexandria describes an optimized crystal structure of Rb2GaAuBr6. The functional is GGA-PBE.

Unit cell a=7.9704 b=7.9704 c=7.8156 alpha=59.34 beta=59.34 gamma=90.00
Fractional coordinates of all 10 atoms:
Ga 0.5000 0.5000 0.0000
Au 0.0000 0.0000 0.0000
Br 0.2296 0.2296 0.5409
Br 0.7704 0.7704 0.4591
Br 0.2779 0.2779 0.0000
Br 0.7221 0.7221 0.0000
Br 0.7221 0.2779 0.0000
Br 0.2779 0.7221 0.0000
Rb 0.7500 0.2500 0.5000
Rb 0.2500 0.7500 0.5000

Calculated values
The space group is I4/mmm (139). The raw formation energy comes out at -985 meV per atom.

***

Entry 3:
This record from Alexandria describes an optimized crystal structure of Cr3BiP. The functional is GGA-PBE.

Unit cell a=5.1980 b=5.1980 c=5.1980 alpha=90.00 beta=90.00 gamma=90.00
Site moments in Bohr magnetons follow the coordinates.
Fractional coordinates of all 5 atoms:
Cr 0.0000 0.5000 0.0000  3.85
Cr 0.0000 0.0000 0.5000  4.04
Cr 0.5000 0.0000 0.0000  3.83
Bi 0.0000 0.0000 0.0000  -0.20
P 0.5000 0.5000 0.5000  -0.50

Calculated values
The space group is Pm-3m (221). The value obtained for the energy above the lowest structure with this stoichiometry is 572 kJ/mol of formula units.

***

Entry 4:
This record from Alexandria describes an optimized crystal structure of Cr2SiMo. The functional is GGA-PBE.

Unit cell a=4.1254 b=2.6142 c=4.8969 alpha=77.80 beta=90.00 gamma=90.00
Fractional coordinates of all 4 atoms:
Cr 0.0000 0.0438 0.9789
Cr 0.0000 0.4562 0.5211
Mo 0.5000 0.2500 0.2500
Si 0.5000 0.7500 0.7500

Calculated values
The space group is P2/m (10). The raw formation energy comes out at -43 meV per atom.

***

Entry 5:
This record from Alexandria describes an optimized crystal structure of BaPbS2N. The functional is GGA-PBE.

Unit cell a=5.2756 b=5.2756 c=4.4771 alpha=90.00 beta=90.00 gamma=90.00
Site moments in Bohr magnetons follow the coordinates.
Fractional coordinates of all 5 atoms:
Pb 0.0000 0.0000 0.0000  -0.04
S 0.0000 0.5000 0.0000  0.07
S 0.5000 0.0000 0.0000  0.07
Ba 0.5000 0.5000 0.5000  -0.01
N 0.0000 0.0000 0.5000  0.74

Calculated values
The space group is P4/mmm (123). The value obtained for the energy above the lowest structure with this stoichiometry is 0 kJ/mol of formula units. The raw formation energy comes out at -146 meV per atom.

***

Entry 6:
This record from Alexandria describes an optimized crystal structure of La3CeBi3. The functional is GGA-PBE.

Unit cell a=6.1391 b=9.5971 c=9.5971 alpha=120.00 beta=90.00 gamma=90.00
Site moments in Bohr magnetons follow the coordinates.
Fractional coordinates of all 14 atoms:
La 0.2500 0.7586 0.7419  0.08
La 0.2500 0.2581 0.0167  0.08
La 0.2500 0.9833 0.2414  0.08
La 0.7500 0.2414 0.2581  0.08
La 0.7500 0.7419 0.9833  0.08
La 0.7500 0.0167 0.7586  0.08
Ce 0.2500 0.6667 0.3333  1.15
Ce 0.7500 0.3333 0.6667  1.15
Bi 0.7500 0.6294 0.5713  -0.03
Bi 0.7500 0.4287 0.0580  -0.03
Bi 0.7500 0.9420 0.3706  -0.03
Bi 0.2500 0.3706 0.4287  -0.03
Bi 0.2500 0.5713 0.9420  -0.03
Bi 0.2500 0.0580 0.6294  -0.03

Calculated values
The space group is P6_3/m (176).

***

Entry 7:
This record from Alexandria describes an optimized crystal structure of LiHoThSn. The functional is GGA-PBE.

Unit cell a=5.2966 b=5.2966 c=5.2966 alpha=60.00 beta=60.00 gamma=60.00
Fractional coordinates of all 4 atoms:
Li 0.7500 0.7500 0.7500
Ho 0.0000 0.0000 0.0000
Th 0.5000 0.5000 0.5000
Sn 0.2500 0.2500 0.2500

Calculated values
The space group is F-43m (216).

***

Entry 8:
This record from Alexandria describes an optimized crystal structure of Tb2AlHg. The functional is GGA-PBE.

Unit cell a=3.4905 b=3.4905 c=8.1296 alpha=90.00 beta=90.00 gamma=90.00
Fractional coordinates of all 4 atoms:
Tb 0.0000 0.0000 0.7604
Tb 0.0000 0.0000 0.2396
Hg 0.5000 0.5000 0.5000
Al 0.5000 0.5000 0.0000

Calculated values
The space group is P4/mmm (123). The value obtained for the energy above the lowest structure with this stoichiometry is 0 kJ/mol of formula units.

***

Entry 9:
This record from Alexandria describes an optimized crystal structure of NaErHgPt. The functional is GGA-PBE.

Unit cell a=4.9504 b=4.9504 c=4.9504 alpha=60.00 beta=60.00 gamma=60.00
Fractional coordinates of all 4 atoms:
Na 0.5000 0.5000 0.5000
Hg 0.2500 0.2500 0.2500
Pt 0.7500 0.7500 0.7500
Er 0.0000 0.0000 0.0000

Calculated values
The space group is F-43m (216).

***

Entry 10:
This record from Alexandria describes an optimized crystal structure of SrIn2Ag10. The functional is GGA-PBE.

Unit cell a=5.6171 b=7.6709 c=7.3041 alpha=81.91 beta=67.39 gamma=68.52
Fractional coordinates of all 13 atoms:
Sr 0.0000 0.0000 0.0000
In 0.0000 0.5000 0.0000
In 0.5000 0.5000 0.0000
Ag 0.3544 0.6551 0.6361
Ag 0.6456 0.3449 0.3639
Ag 0.0095 0.3449 0.6361
Ag 0.9905 0.6551 0.3639
Ag 0.0000 0.0000 0.5000
Ag 0.5000 0.0000 0.5000
Ag 0.2840 0.2135 0.2184
Ag 0.7160 0.7865 0.7816
Ag 0.4976 0.7865 0.2184
Ag 0.5024 0.2135 0.7816

Calculated values
The space group is Fmmm (69).

***

Entry 11:
This record from Alexandria describes an optimized crystal structure of NdDyTm4S8. The functional is GGA-PBE.

Unit cell a=8.0053 b=8.0053 c=8.0322 alpha=60.11 beta=60.11 gamma=60.00
Fractional coordinates of all 14 atoms:
Nd 0.3741 0.3741 0.8776
Dy 0.9994 0.9994 0.0019
Tm 0.6255 0.6255 0.1236
Tm 0.9993 0.5023 0.4990
Tm 0.5023 0.9993 0.4990
Tm 0.9993 0.9993 0.4990
S 0.2406 0.7850 0.7338
S 0.7850 0.2406 0.7338
S 0.2406 0.2406 0.7338
S 0.2371 0.2371 0.2886
S 0.7543 0.2306 0.2607
S 0.2306 0.7543 0.2607
S 0.7543 0.7543 0.2607
S 0.7574 0.7574 0.7278

Calculated values
The space group is R3m (160). The raw formation energy comes out at -1915 meV per atom.

***

Entry 12:
This record from Alexandria describes an optimized crystal structure of Nd3LuFe. The functional is GGA-PBE.

Unit cell a=5.3718 b=5.3718 c=5.3718 alpha=90.00 beta=90.00 gamma=90.00
Fractional coordinates of all 5 atoms:
Lu 0.5000 0.5000 0.5000
Nd 0.0000 0.5000 0.0000
Nd 0.0000 0.0000 0.5000
Nd 0.5000 0.0000 0.0000
Fe 0.0000 0.0000 0.0000

Calculated values
The space group is Pm-3m (221).

***

Entry 13:
This record from Alexandria describes an optimized crystal structure of Nd8DyTm5. The functional is GGA-PBE.

Unit cell a=8.5591 b=8.6213 c=8.5612 alpha=114.18 beta=98.26 gamma=116.13
Fractional coordinates of all 14 atoms:
Nd 0.2138 0.7308 0.0849
Nd 0.0857 0.2091 0.7447
Nd 0.6490 0.2181 0.3048
Nd 0.6991 0.4544 0.9353
Nd 0.4807 0.5457 0.2445
Nd 0.5354 0.7907 0.8763
Nd 0.3545 0.2698 0.4838
Nd 0.0870 0.7816 0.4309
Dy 0.0883 0.4997 0.5893
Tm 0.9574 0.2604 0.0884
Tm 0.8678 0.9622 0.2717
Tm 0.8279 0.7395 0.6968
Tm 0.5937 0.0002 0.5934
Tm 0.3096 0.0378 0.9053

Calculated values
The space group is P1 (1).

***

Entry 14:
This record from Alexandria describes an optimized crystal structure of LiMg5O6. The functional is GGA-PBE.

Unit cell a=5.1971 b=5.2052 c=5.2044 alpha=59.99 beta=80.36 gamma=70.43
Fractional coordinates of all 12 atoms:
Mg 0.5000 0.1624 0.6752
Mg 0.0000 0.3335 0.3330
Mg 0.5000 0.5000 0.0000
Mg 0.0000 0.6665 0.6670
Mg 0.5000 0.8376 0.3248
O 0.7457 0.0847 0.3415
O 0.2543 0.5738 0.3415
O 0.2554 0.2562 0.0000
O 0.7446 0.7438 0.0000
O 0.7457 0.4262 0.6585
O 0.2543 0.9153 0.6585
Li 0.0000 0.0000 0.0000

Calculated values
The space group is C2/m (12). The raw formation energy comes out at -2432 meV per atom.

***

Entry 15:
This record from Alexandria describes an optimized crystal structure of CaCu2Br. The functional is GGA-PBE.

Unit cell a=3.9208 b=3.9160 c=5.5835 alpha=90.00 beta=90.00 gamma=90.00
Fractional coordinates of all 4 atoms:
Ca 0.0000 0.5000 0.5000
Cu 0.0000 0.0000 0.0000
Cu 0.5000 0.5000 0.0000
Br 0.5000 0.0000 0.5000

Calculated values
The space group is P4/mmm (123). The value obtained for the energy above the lowest structure with this stoichiometry is 100 kJ/mol of formula units. The raw formation energy comes out at -194 meV per atom.

***

Entry 16:
This record from Alexandria describes an optimized crystal structure of Dy2Zn2Ru2C. The functional is GGA-PBE.

Unit cell a=3.8108 b=5.7451 c=6.4127 alpha=72.48 beta=72.71 gamma=70.63
Fractional coordinates of all 7 atoms:
Dy 0.5667 0.1512 0.7155
Dy 0.4333 0.8488 0.2845
Zn 0.1351 0.3934 0.3364
Zn 0.8649 0.6066 0.6636
Ru 0.1954 0.6789 0.9303
Ru 0.8046 0.3211 0.0697
C 0.0000 0.0000 0.0000

Calculated values
The space group is C2/m (12).

***

Entry 17:
This record from Alexandria describes an optimized crystal structure of Pr5ZrGe4. The functional is GGA-PBE.

Unit cell a=4.2194 b=8.0544 c=9.4586 alpha=105.75 beta=102.89 gamma=90.00
Site moments in Bohr magnetons follow the coordinates.
Fractional coordinates of all 10 atoms:
Pr 0.8341 0.6451 0.6682  0.10
Pr 0.8333 0.1574 0.6666  0.08
Pr 0.1667 0.8426 0.3334  0.08
Pr 0.5000 0.5000 0.0000  0.07
Pr 0.1659 0.3549 0.3318  0.10
Zr 0.5000 0.0000 0.0000  0.05
Ge 0.3364 0.8993 0.6729  0.00
Ge 0.9992 0.7674 0.9985  -0.01
Ge 0.6636 0.1007 0.3271  0.00
Ge 0.0008 0.2326 0.0015  -0.01

Calculated values
The space group is C2/m (12).

***

Entry 18:
This record from Alexandria describes an optimized crystal structure of TiTl4Te5. The functional is GGA-PBE.

Unit cell a=6.7628 b=7.8521 c=7.8521 alpha=79.31 beta=64.49 gamma=64.49
Fractional coordinates of all 10 atoms:
Ti 0.0743 0.0000 0.0000
Tl 0.4023 0.3988 0.7817
Tl 0.8011 0.7817 0.6012
Tl 0.1840 0.2183 0.3988
Tl 0.5829 0.6012 0.2183
Te 0.9045 0.3478 0.8427
Te 0.2523 0.8427 0.6522
Te 0.7472 0.1573 0.3478
Te 0.0950 0.6522 0.1573
Te 0.4668 0.0000 0.0000

Calculated values
The space group is I4 (79). The raw formation energy comes out at -337 meV per atom.

***

Entry 19:
This record from Alexandria describes an optimized crystal structure of YHI3. The functional is GGA-PBE.

Unit cell a=5.1334 b=5.1334 c=5.1334 alpha=90.00 beta=90.00 gamma=90.00
Fractional coordinates of all 5 atoms:
I 0.0000 0.5000 0.0000
I 0.0000 0.0000 0.5000
I 0.5000 0.0000 0.0000
Y 0.5000 0.5000 0.5000
H 0.0000 0.0000 0.0000

Calculated values
The space group is Pm-3m (221). The value obtained for the energy above the lowest structure with this stoichiometry is 385 kJ/mol of formula units.

***

Entry 20:
This record from Alexandria describes an optimized crystal structure of Pr2Nd2Y4Th. The functional is GGA-PBE.

Unit cell a=3.6584 b=9.7001 c=9.7241 alpha=115.52 beta=90.00 gamma=100.87
Fractional coordinates of all 9 atoms:
Pr 0.3371 0.6742 0.9949
Pr 0.6629 0.3258 0.0051
Nd 0.8526 0.7053 0.3361
Nd 0.1474 0.2947 0.6639
Y 0.8170 0.6339 0.6652
Y 0.1830 0.3661 0.3348
Y 0.5186 0.0373 0.3263
Y 0.4814 0.9627 0.6737
Th 0.0000 0.0000 0.0000

Calculated values
The space group is C2/m (12).

***

Entry 21:
This record from Alexandria describes an optimized crystal structure of Ce3DyIr8. The functional is GGA-PBE.

Unit cell a=5.3884 b=5.3884 c=9.3271 alpha=73.21 beta=73.21 gamma=60.00
Site moments in Bohr magnetons follow the coordinates.
Fractional coordinates of all 12 atoms:
Ce 0.3750 0.3750 0.8751  0.12
Ce 0.0004 0.0004 0.9989  0.12
Ce 0.4996 0.4996 0.5011  0.08
Dy 0.8750 0.8750 0.3749  0.01
Ir 0.9377 0.4369 0.1884  0.00
Ir 0.4380 0.9376 0.6868  0.00
Ir 0.4369 0.4369 0.1884  0.00
Ir 0.9376 0.9376 0.6868  0.00
Ir 0.1877 0.1877 0.4369  0.00
Ir 0.6874 0.6874 0.9377  0.00
Ir 0.4369 0.9377 0.1884  0.00
Ir 0.9376 0.4380 0.6868  0.00

Calculated values
The space group is R3m (160).

***

Entry 22:
This record from Alexandria describes an optimized crystal structure of ZnSb2IrW. The functional is GGA-PBE.

Unit cell a=4.9769 b=4.5546 c=4.9769 alpha=90.00 beta=90.00 gamma=90.00
Site moments in Bohr magnetons follow the coordinates.
Fractional coordinates of all 5 atoms:
Sb 0.0000 0.0000 0.5000  -0.06
Sb 0.5000 0.0000 0.0000  -0.07
Zn 0.0000 0.0000 0.0000  0.00
Ir 0.0000 0.5000 0.0000  -0.15
W 0.5000 0.5000 0.5000  2.08

Calculated values
The space group is P4/mmm (123). The raw formation energy comes out at 1561 meV per atom.

***

Entry 23:
This record from Alexandria describes an optimized crystal structure of KTa2Mo. The functional is GGA-PBE.

Unit cell a=4.9307 b=4.9307 c=7.6224 alpha=89.50 beta=89.50 gamma=32.01
Fractional coordinates of all 4 atoms:
K 0.4991 0.4991 0.4937
Mo 0.2557 0.2557 0.1607
Ta 0.0029 0.0029 0.0065
Ta 0.7423 0.7423 0.8391

Calculated values
The space group is Cm (8). The value obtained for the energy above the lowest structure with this stoichiometry is 159 kJ/mol of formula units.

***

Entry 24:
This record from Alexandria describes an optimized crystal structure of Cs2AlMoBr6. The functional is GGA-PBE.

Unit cell a=7.9006 b=7.9006 c=7.9003 alpha=60.00 beta=60.00 gamma=90.00
Site moments in Bohr magnetons follow the coordinates.
Fractional coordinates of all 10 atoms:
Cs 0.7500 0.2500 0.5000  0.00
Cs 0.2500 0.7500 0.5000  0.00
Mo 0.0000 0.0000 0.0000  2.54
Al 0.5000 0.5000 0.0000  -0.02
Br 0.2370 0.2370 0.5260  0.01
Br 0.7630 0.7630 0.4740  0.01
Br 0.2370 0.2370 0.0000  0.01
Br 0.7630 0.7630 0.0000  0.01
Br 0.7630 0.2370 0.0000  0.01
Br 0.2370 0.7630 0.0000  0.01

Calculated values
The space group is Fm-3m (225). The raw formation energy comes out at -996 meV per atom.

***

Entry 25:
This record from Alexandria describes an optimized crystal structure of Ni2H6Pd. The functional is GGA-PBE.

Unit cell a=4.2403 b=4.5687 c=4.5687 alpha=120.00 beta=90.00 gamma=90.00
Fractional coordinates of all 9 atoms:
Ni 0.5000 0.3333 0.6667
Ni 0.5000 0.6667 0.3333
H 0.3008 0.6447 0.0000
H 0.3008 0.3553 0.3553
H 0.3008 0.0000 0.6447
H 0.6992 0.3553 0.0000
H 0.6992 0.6447 0.6447
H 0.6992 0.0000 0.3553
Pd 0.5000 0.0000 0.0000

Calculated values
The space group is P-31m (162). The value obtained for the energy above the lowest structure with this stoichiometry is 0 kJ/mol of formula units.

***

Uncorrected energy values (in eV per atom) by entry order: -5.6457 -2.8129 -6.1136 -8.9182 -4.5887 -5.2456 -4.7197 -3.7657 -3.5616 -2.8042 -6.2202 -5.2374 -4.4764 -5.7351 -3.1607 -5.9943 -5.6250 -3.6436 -2.8863 -5.8152 -8.5533 -4.7055 -7.9149 -3.6280 -4.0650.
Density values (in g/cm3) by entry order: 10.61 4.43 4.68 7.34 5.63 8.03 8.26 9.14 11.34 8.57 5.64 7.11 7.55 3.24 4.79 9.03 5.99 7.35 5.78 6.31 15.93 10.08 8.40 4.13 4.98.